(1)
The following is a DFT calculation (PBE) of Ga3Ag2Hg after structural relaxation.

Properties
* formation energy: 59 meV/atom
* total moment: 0.00 μB/f.u.
* space group: C2/m (12)

Cell: 9.6555 9.6555 12.2868 Å, 102.71 102.71 18.55°
Fractional positions:
1 Ga 0.0000 0.0000 0.0000
2 Ga 0.1361 0.1361 0.7024
3 Ga 0.1891 0.1891 0.5142
4 Ga 0.2600 0.2600 0.1049
5 Ga 0.4672 0.4672 0.2111
6 Ga 0.5328 0.5328 0.7889
7 Ga 0.7400 0.7400 0.8951
8 Ga 0.8109 0.8109 0.4858
9 Ga 0.8639 0.8639 0.2976
10 Ag 0.0745 0.0745 0.3500
11 Ag 0.1303 0.1303 0.9466
12 Ag 0.2312 0.2312 0.3128
13 Ag 0.7688 0.7688 0.6872
14 Ag 0.8697 0.8697 0.0534
15 Ag 0.9255 0.9255 0.6500
16 Hg 0.3820 0.3820 0.8407
17 Hg 0.5000 0.5000 0.5000
18 Hg 0.6180 0.6180 0.1593

(2)
The following is a DFT calculation (PBE) of Ga5Ag3Hg12 after structural relaxation.

Properties
* formation energy: 172 meV/atom
* total moment: 0.00 μB/f.u.
* space group: Ia-3d (230)

Cell: 14.1734 14.1734 14.1734 Å, 109.47 109.47 109.47°
Fractional positions:
1 Ga 0.0000 0.0000 0.0000
2 Ga 0.0000 0.0000 0.5000
3 Ga 0.0000 0.5000 0.0000
4 Ga 0.0000 0.5000 0.5000
5 Ga 0.1250 0.7500 0.8750
6 Ga 0.1250 0.8750 0.2500
7 Ga 0.2500 0.1250 0.8750
8 Ga 0.2500 0.6250 0.3750
9 Ga 0.3750 0.2500 0.6250
10 Ga 0.3750 0.6250 0.7500
11 Ga 0.5000 0.0000 0.0000
12 Ga 0.5000 0.0000 0.5000
13 Ga 0.5000 0.5000 0.0000
14 Ga 0.5000 0.5000 0.5000
15 Ga 0.6250 0.3750 0.2500
16 Ga 0.6250 0.7500 0.3750
17 Ga 0.7500 0.3750 0.6250
18 Ga 0.7500 0.8750 0.1250
19 Ga 0.8750 0.1250 0.7500
20 Ga 0.8750 0.2500 0.1250
21 Ag 0.1250 0.2500 0.3750
22 Ag 0.1250 0.3750 0.7500
23 Ag 0.2500 0.3750 0.1250
24 Ag 0.2500 0.8750 0.6250
25 Ag 0.3750 0.1250 0.2500
26 Ag 0.3750 0.7500 0.1250
27 Ag 0.6250 0.2500 0.8750
28 Ag 0.6250 0.8750 0.7500
29 Ag 0.7500 0.1250 0.3750
30 Ag 0.7500 0.6250 0.8750
31 Ag 0.8750 0.6250 0.2500
32 Ag 0.8750 0.7500 0.6250
33 Hg 0.0597 0.2293 0.1360
34 Hg 0.0597 0.3304 0.9237
35 Hg 0.0763 0.6360 0.4067
36 Hg 0.0763 0.9403 0.6696
37 Hg 0.0933 0.7293 0.6696
38 Hg 0.0933 0.8640 0.4237
39 Hg 0.1360 0.0597 0.2293
40 Hg 0.1360 0.5763 0.9067
41 Hg 0.1696 0.2293 0.5933
42 Hg 0.1696 0.4403 0.5763
43 Hg 0.2293 0.1360 0.0597
44 Hg 0.2293 0.5933 0.1696
45 Hg 0.2707 0.3304 0.9067
46 Hg 0.2707 0.4403 0.3640
47 Hg 0.3304 0.9067 0.2707
48 Hg 0.3304 0.9237 0.0597
49 Hg 0.3640 0.2707 0.4403
50 Hg 0.3640 0.5933 0.9237
51 Hg 0.4067 0.0763 0.6360
52 Hg 0.4067 0.8304 0.7707
53 Hg 0.4237 0.0933 0.8640
54 Hg 0.4237 0.8304 0.5597
55 Hg 0.4403 0.3640 0.2707
56 Hg 0.4403 0.5763 0.1696
57 Hg 0.5597 0.4237 0.8304
58 Hg 0.5597 0.6360 0.7293
59 Hg 0.5763 0.1696 0.4403
60 Hg 0.5763 0.9067 0.1360
61 Hg 0.5933 0.1696 0.2293
62 Hg 0.5933 0.9237 0.3640
63 Hg 0.6360 0.4067 0.0763
64 Hg 0.6360 0.7293 0.5597
65 Hg 0.6696 0.0763 0.9403
66 Hg 0.6696 0.0933 0.7293
67 Hg 0.7293 0.5597 0.6360
68 Hg 0.7293 0.6696 0.0933
69 Hg 0.7707 0.4067 0.8304
70 Hg 0.7707 0.8640 0.9403
71 Hg 0.8304 0.5597 0.4237
72 Hg 0.8304 0.7707 0.4067
73 Hg 0.8640 0.4237 0.0933
74 Hg 0.8640 0.9403 0.7707
75 Hg 0.9067 0.1360 0.5763
76 Hg 0.9067 0.2707 0.3304
77 Hg 0.9237 0.0597 0.3304
78 Hg 0.9237 0.3640 0.5933
79 Hg 0.9403 0.6696 0.0763
80 Hg 0.9403 0.7707 0.8640

(3)
The following is a DFT calculation (PBE) of Ga3Ag3Hg after structural relaxation.

Properties
* formation energy: 385 meV/atom
* total moment: 0.00 μB/f.u.
* space group: Pm-3n (223)

Cell: 7.3005 7.3005 7.3005 Å, 90.00 90.00 90.00°
Fractional positions:
1 Ga 0.0000 0.2500 0.5000
2 Ga 0.0000 0.7500 0.5000
3 Ga 0.2500 0.5000 0.0000
4 Ga 0.5000 0.0000 0.2500
5 Ga 0.5000 0.0000 0.7500
6 Ga 0.7500 0.5000 0.0000
7 Ag 0.0000 0.5000 0.2500
8 Ag 0.0000 0.5000 0.7500
9 Ag 0.2500 0.0000 0.5000
10 Ag 0.5000 0.2500 0.0000
11 Ag 0.5000 0.7500 0.0000
12 Ag 0.7500 0.0000 0.5000
13 Hg 0.0000 0.0000 0.0000
14 Hg 0.5000 0.5000 0.5000

(4)
The following is a DFT calculation (PBE) of GaAg2Hg after structural relaxation.

Properties
* formation energy: 166 meV/atom
* total moment: 0.00 μB/f.u.
* space group: I-42d (122)

Cell: 6.1442 6.1442 6.1442 Å, 102.14 102.14 125.41°
Fractional positions:
1 Ga 0.0000 0.0000 0.0000
2 Ga 0.7500 0.2500 0.5000
3 Ag 0.0979 0.6250 0.9729
4 Ag 0.3750 0.3479 0.4729
5 Ag 0.6521 0.1250 0.0271
6 Ag 0.8750 0.9021 0.5271
7 Hg 0.2500 0.7500 0.5000
8 Hg 0.5000 0.5000 0.0000